Compound: Rb3PuNi2O6
Source: Alexandria via LeMat-Bulk
Functional: GGA+U
Structure: relaxed

a = 5.685 Å, b = 5.685 Å, c = 6.690 Å
α = 98.00°, β = 98.00°, γ = 120.13°
Fractional coordinates of all 12 atoms:
Rb: 0.000 0.000 0.000
Rb: 0.327 0.673 0.000
Rb: 0.673 0.327 0.000
Pu: 0.500 0.500 0.500
Ni: 0.167 0.833 0.500
Ni: 0.833 0.167 0.500
O: 0.114 0.442 0.328
O: 0.230 0.230 0.674
O: 0.442 0.114 0.328
O: 0.558 0.886 0.672
O: 0.770 0.770 0.326
O: 0.886 0.558 0.672

## Properties
Total magnetic moment, μB/f.u.: 1.00
Total DFT energy (no corrections), Ry per atom: -0.43757